LiSnPb3: optimized geometry, PBE-GGA.

extended XYZ file:
```
10
Lattice="7.661 -0.838 0.214 -4.490 6.263 -0.214 -3.304 -1.708 6.753" Properties=species:S:1:pos:R:3 pbc="T T T"
Pb -3.777 4.675 2.084
Pb 1.445 2.806 4.519
Pb 1.749 1.445 1.421
Pb -1.867 3.559 4.455
Pb -2.903 0.525 5.333
Pb -1.568 0.928 2.235
Li 0.037 -0.072 4.845
Li -0.214 3.714 1.908
Sn -0.646 5.731 -0.012
Sn 2.006 0.542 6.765
```

Output
Relative energy among the computed polymorphs: 0.09 eV per formula unit
N(E_F): 0.496 states/eV per atom
Energy of formation from the pure elements: -0.003 eV/atom
Space-group type: Ima2 (46)

***

Li3SnPb4: optimized geometry, PBE-GGA.

extended XYZ file:
```
8
Lattice="-4.511 -1.513 -0.528 0.115 1.267 -4.615 5.114 -7.823 0.431" Properties=species:S:1:pos:R:3 pbc="T T T"
Sn -2.256 -0.757 -0.264
Pb 0.783 -2.132 -0.578
Pb -1.415 -2.256 -3.146
Pb 2.133 -5.812 -1.566
Pb -0.065 -5.936 -4.134
Li 0.058 0.634 -2.308
Li 1.503 -3.304 -3.371
Li -0.785 -4.764 -1.342
```

Output
N(E_F): 0.326 states/eV per atom
Energy of formation from the pure elements: -0.180 eV/atom
Space-group type: C2/m (12)

***

Li3SnPb3: optimized geometry, PBE-GGA.

extended XYZ file:
```
14
Lattice="-0.099 0.983 6.917 0.319 -6.898 1.064 6.810 0.323 0.051" Properties=species:S:1:pos:R:3 pbc="T T T"
Pb 3.554 -3.999 5.639
Pb 0.028 -1.418 5.134
Pb 0.192 -4.497 2.847
Pb 3.476 -1.593 2.393
Pb 3.627 -4.906 2.449
Pb 3.403 -0.686 5.583
Li 5.416 -6.160 4.564
Li 1.614 0.568 3.468
Li 5.207 -2.225 7.485
Li 1.823 -3.367 0.547
Li 5.460 -5.664 8.017
Li 1.570 0.072 0.015
Sn 6.858 -1.112 1.986
Sn 0.172 -4.480 6.046
```

Output
Relative energy among the computed polymorphs: 0.00 eV per formula unit
N(E_F): 0.373 states/eV per atom
Energy of formation from the pure elements: -0.210 eV/atom
Space-group type: C2/m (12)

***

Li8Sn2Pb: optimized geometry, PBE-GGA.

extended XYZ file:
```
11
Lattice="-3.227 3.355 -1.357 -4.049 -3.227 1.651 1.944 1.522 7.802" Properties=species:S:1:pos:R:3 pbc="T T T"
Li -0.110 1.765 4.627
Li -5.222 -0.115 3.469
Li -2.353 3.793 6.313
Li -1.903 0.855 6.639
Li -2.979 -2.143 1.784
Li -0.564 0.341 2.185
Li -4.768 1.308 5.912
Li -3.429 0.795 1.458
Sn -2.417 -0.677 4.074
Sn -2.915 2.327 4.023
Pb -1.613 1.677 -0.678
```

Output
Relative energy among the computed polymorphs: 0.00 eV per formula unit
N(E_F): 0.123 states/eV per atom
Energy of formation from the pure elements: -0.331 eV/atom
Space-group type: C2/m (12)

***

Li5Sn6Pb: optimized geometry, PBE-GGA.

extended XYZ file:
```
12
Lattice="4.384 0.016 -1.278 -1.220 7.843 -4.086 0.047 -0.744 8.311" Properties=species:S:1:pos:R:3 pbc="T T T"
Sn -0.330 6.818 -1.048
Sn 2.981 3.902 2.118
Sn 1.311 5.675 -3.591
Sn 1.854 2.184 -1.772
Sn 0.230 3.213 0.830
Sn 3.542 0.297 3.996
Li 0.509 6.109 1.822
Li -0.610 3.921 -2.043
Li 1.046 2.046 3.615
Li 2.165 5.070 -0.667
Li 2.703 1.007 1.126
Pb 0.000 0.000 0.000
```

Output
N(E_F): 0.503 states/eV per atom
Energy of formation from the pure elements: -0.246 eV/atom
Space-group type: Immm (71)

***

Li5Sn2Pb2: optimized geometry, PBE-GGA.

extended XYZ file:
```
18
Lattice="7.393 0.000 0.000 0.000 7.557 0.000 0.000 -3.779 7.114" Properties=species:S:1:pos:R:3 pbc="T T T"
Li 6.091 5.075 1.853
Li 2.395 6.261 1.853
Li 0.000 0.000 0.000
Li 4.998 -2.482 5.261
Li 6.091 1.296 5.261
Li 3.697 3.779 0.000
Li 2.395 2.482 5.261
Li 1.302 -1.296 5.261
Li 4.998 1.296 1.853
Li 1.302 2.482 1.853
Pb 0.000 0.000 3.044
Pb 3.697 3.779 3.044
Pb 3.697 0.000 4.069
Pb 0.000 3.779 4.069
Sn 6.397 2.750 0.000
Sn 4.693 6.529 0.000
Sn 0.997 4.807 0.000
Sn 2.700 1.028 0.000
```

Output
N(E_F): 0.253 states/eV per atom
Energy of formation from the pure elements: -0.189 eV/atom
Space-group type: Cmce (64)

***

Li6SnPb: optimized geometry, PBE-GGA.

extended XYZ file:
```
8
Lattice="-3.181 2.237 2.630 -4.565 -0.975 -0.502 -2.008 -5.005 6.018" Properties=species:S:1:pos:R:3 pbc="T T T"
Sn -4.877 -1.872 4.073
Li -2.226 -2.947 4.004
Li -7.319 -2.775 6.077
Li -5.092 0.156 2.089
Li -4.663 -3.899 6.057
Li -2.435 -0.969 2.069
Li -7.529 -0.796 4.142
Pb 0.000 0.000 0.000
```

Output
Relative energy among the computed polymorphs: 0.00 eV per formula unit
N(E_F): 0.356 states/eV per atom
Energy of formation from the pure elements: -0.351 eV/atom
Space-group type: R-3m (166)

***

Li6Sn3Pb2: optimized geometry, PBE-GGA.

extended XYZ file:
```
11
Lattice="-2.353 -0.592 -3.228 3.281 -0.372 -2.324 -0.299 -14.737 5.447" Properties=species:S:1:pos:R:3 pbc="T T T"
Li -1.052 -11.797 0.405
Li 0.537 -7.165 -1.603
Li 1.765 -11.687 0.857
Li 1.681 -3.905 -0.509
Li -1.136 -4.014 -0.961
Li 0.092 -8.536 1.498
Pb 0.481 -2.038 -2.503
Pb 0.148 -13.664 2.398
Sn 0.000 0.000 0.000
Sn 0.567 -10.014 -1.102
Sn 0.062 -5.687 0.998
```

Output
N(E_F): 0.367 states/eV per atom
Energy of formation from the pure elements: -0.138 eV/atom
Space-group type: I4/mmm (139)